Here is a relaxed K2RbHAu crystal from Alexandria via LeMat-Bulk. Energies are from GGA-PBE.

Output
- calculated volume (Å³ per cell) = 374.4
- SG = Cmcm, No. 63
- spin magnetization (μB per cell) = 0.4
- energy relative to the lowest polymorph listed for this composition (kJ per mole of atoms) = 0.0

abc: 4.454 9.716 8.887
angles: 90.00 90.00 103.25
Sites, in units of the cell vectors:
Au 0.698 0.395 0.750
K 0.156 0.312 0.488
K 0.844 0.688 0.988
H 0.000 0.000 0.000
H 0.000 0.000 0.500
K 0.844 0.688 0.512
K 0.156 0.312 0.012
Rb 0.489 0.977 0.250
Rb 0.511 0.023 0.750
Au 0.302 0.605 0.250